Crystalline Y2ErPu at its relaxed geometry, computed with PBE-GGA.

## Properties
Energy above the lowest structure with this stoichiometry: 171 meV/atom
Crystal system: trigonal
Formation enthalpy at 0 K: 0.268 eV per atom
VASP energy: -7.688 eV per atom

a b c (Å): 3.4458 3.4458 12.3776
angles (deg): 82.00 82.00 60.00
Site moments in Bohr magnetons follow the coordinates.
Sites, in units of the cell vectors:
Y 0.0890 0.0890 0.7331  -0.05
Y 0.9110 0.9110 0.2669  -0.05
Er 0.5000 0.5000 0.5000  0.01
Pu 0.0000 0.0000 0.0000  -5.81